Here is Y6ErTl after structural relaxation from Alexandria. Energies are from PBE.

The space group is P4/mmm (No. 123) and the conventional cell measures 4.917, 4.917 and 10.107 Å, with angles of 90.00, 90.00 and 90.00 degrees. Symmetry generates all atoms from Y at (0.000, 0.000, 0.000), Y at (0.000, 0.000, 0.500), Y at (0.000, 0.500, 0.246), Er at (0.500, 0.500, 0.500) and Tl at (0.500, 0.500, 0.000).

Its energy relative to the lowest polymorph listed for this composition is 0.00 eV per formula unit. Its formation energy is -0.08 eV/atom.